No. 1
The following is a DFT calculation (PBE-GGA) of a relaxed structure of BaCaMg2.

Cell lengths 12.374, 12.374, 12.374 Å; angles 155.21, 155.21, 35.34 degrees
Fractional coordinates of all 8 atoms:
Ba: 0.000 0.000 0.000
Ba: 0.750 0.250 0.500
Ca: 0.250 0.750 0.500
Ca: 0.500 0.500 0.000
Mg: 0.214 0.625 0.089
Mg: 0.375 0.464 0.589
Mg: 0.536 0.125 0.911
Mg: 0.875 0.786 0.411

Values from the calculation:
* polymorph energy (0 for the lowest one): 347 meV/atom
* symmetry: No. 122

***

No. 2
The following is a DFT calculation (PBE-GGA) of a relaxed structure of BaCa2Mg2.

Cell lengths 7.079, 7.079, 6.606 Å; angles 103.53, 103.53, 41.16 degrees
Fractional coordinates of all 5 atoms:
Ba: 0.000 0.000 0.000
Ca: 0.350 0.350 0.429
Ca: 0.650 0.650 0.571
Mg: 0.275 0.275 0.891
Mg: 0.725 0.725 0.109

Values from the calculation:
* polymorph energy (0 for the lowest one): 69 meV/atom
* symmetry: No. 12

***

No. 3
The following is a DFT calculation (PBE-GGA) of a relaxed structure of Ba5Ca12Mg3.

Cell lengths 18.270, 18.270, 18.270 Å; angles 109.47, 109.47, 109.47 degrees
Fractional coordinates of all 80 atoms:
Ba: 0.000 0.000 0.000
Ba: 0.000 0.000 0.500
Ba: 0.000 0.500 0.000
Ba: 0.000 0.500 0.500
Ba: 0.125 0.750 0.875
Ba: 0.125 0.875 0.250
Ba: 0.250 0.125 0.875
Ba: 0.250 0.625 0.375
Ba: 0.375 0.250 0.625
Ba: 0.375 0.625 0.750
Ba: 0.500 0.000 0.000
Ba: 0.500 0.000 0.500
Ba: 0.500 0.500 0.000
Ba: 0.500 0.500 0.500
Ba: 0.625 0.375 0.250
Ba: 0.625 0.750 0.375
Ba: 0.750 0.375 0.625
Ba: 0.750 0.875 0.125
Ba: 0.875 0.125 0.750
Ba: 0.875 0.250 0.125
Ca: 0.043 0.639 0.398
Ca: 0.043 0.905 0.645
Ca: 0.095 0.241 0.139
Ca: 0.095 0.355 0.957
Ca: 0.102 0.741 0.645
Ca: 0.102 0.861 0.457
Ca: 0.139 0.095 0.241
Ca: 0.139 0.543 0.898
Ca: 0.145 0.241 0.602
Ca: 0.145 0.405 0.543
Ca: 0.241 0.139 0.095
Ca: 0.241 0.602 0.145
Ca: 0.259 0.355 0.898
Ca: 0.259 0.405 0.361
Ca: 0.355 0.898 0.259
Ca: 0.355 0.957 0.095
Ca: 0.361 0.259 0.405
Ca: 0.361 0.602 0.957
Ca: 0.398 0.043 0.639
Ca: 0.398 0.855 0.759
Ca: 0.405 0.361 0.259
Ca: 0.405 0.543 0.145
Ca: 0.457 0.102 0.861
Ca: 0.457 0.855 0.595
Ca: 0.543 0.145 0.405
Ca: 0.543 0.898 0.139
Ca: 0.595 0.457 0.855
Ca: 0.595 0.639 0.741
Ca: 0.602 0.145 0.241
Ca: 0.602 0.957 0.361
Ca: 0.639 0.398 0.043
Ca: 0.639 0.741 0.595
Ca: 0.645 0.043 0.905
Ca: 0.645 0.102 0.741
Ca: 0.741 0.595 0.639
Ca: 0.741 0.645 0.102
Ca: 0.759 0.398 0.855
Ca: 0.759 0.861 0.905
Ca: 0.855 0.595 0.457
Ca: 0.855 0.759 0.398
Ca: 0.861 0.457 0.102
Ca: 0.861 0.905 0.759
Ca: 0.898 0.139 0.543
Ca: 0.898 0.259 0.355
Ca: 0.905 0.645 0.043
Ca: 0.905 0.759 0.861
Ca: 0.957 0.095 0.355
Ca: 0.957 0.361 0.602
Mg: 0.125 0.250 0.375
Mg: 0.125 0.375 0.750
Mg: 0.250 0.375 0.125
Mg: 0.250 0.875 0.625
Mg: 0.375 0.125 0.250
Mg: 0.375 0.750 0.125
Mg: 0.625 0.250 0.875
Mg: 0.625 0.875 0.750
Mg: 0.750 0.125 0.375
Mg: 0.750 0.625 0.875
Mg: 0.875 0.625 0.250
Mg: 0.875 0.750 0.625

Values from the calculation:
* energy: -1.362 eV per atom
* symmetry: No. 230

***

No. 4
The following is a DFT calculation (PBE-GGA) of a relaxed structure of Ba2Ca7Mg.

Cell lengths 8.968, 8.968, 8.968 Å; angles 60.00, 60.00, 60.00 degrees
Fractional coordinates of all 10 atoms:
Ba: 0.250 0.250 0.250
Ba: 0.750 0.750 0.750
Ca: 0.000 0.000 0.000
Ca: 0.259 0.259 0.741
Ca: 0.259 0.741 0.259
Ca: 0.259 0.741 0.741
Ca: 0.741 0.259 0.259
Ca: 0.741 0.259 0.741
Ca: 0.741 0.741 0.259
Mg: 0.500 0.500 0.500

Values from the calculation:
* energy: -1.646 eV per atom
* symmetry: No. 225

***

No. 5
The following is a DFT calculation (PBE-GGA) of a relaxed structure of Ba2CaMg3.

Cell lengths 4.228, 4.228, 12.694 Å; angles 90.00, 90.00, 90.00 degrees
Fractional coordinates of all 6 atoms:
Ba: 0.000 0.000 0.180
Ba: 0.000 0.000 0.820
Ca: 0.000 0.000 0.500
Mg: 0.500 0.500 0.000
Mg: 0.500 0.500 0.362
Mg: 0.500 0.500 0.638

Values from the calculation:
* energy: -1.830 eV per atom
* symmetry: No. 123

***

No. 6
The following is a DFT calculation (PBE-GGA) of a relaxed structure of Ba4CaMg3.

Cell lengths 4.468, 6.280, 12.562 Å; angles 90.00, 90.00, 90.00 degrees
Fractional coordinates of all 8 atoms:
Ba: 0.000 0.000 0.000
Ba: 0.000 0.000 0.500
Ba: 0.000 0.500 0.235
Ba: 0.000 0.500 0.765
Ca: 0.500 0.500 0.500
Mg: 0.500 0.000 0.259
Mg: 0.500 0.000 0.741
Mg: 0.500 0.500 0.000

Values from the calculation:
* energy: -1.830 eV per atom
* symmetry: No. 47